# CrPt2I

A relaxed structure of CrPt2I (PBE, the Alexandria database).

Summary:
Volume: 73.2 Å³ per cell
Symmetry: No. 225
Formation energy from raw total energies: 0.530 eV/atom
Energy above the lowest structure with this stoichiometry: 0 meV per atom
Total energy: -21.133 eV per cell

Geometry as POSCAR:
```
CrPt2I
1.0
0.000 3.320 3.320
3.320 0.000 3.320
3.320 3.320 0.000
Cr Pt I
1 2 1
direct
0.000 0.000 0.000
0.250 0.250 0.250
0.750 0.750 0.750
0.500 0.500 0.500
```